# BaPmMnO4

A relaxed BaPmMnO4 crystal (PBE+U, the Alexandria database).

Values from the calculation:
E_tot = -7.250 eV per atom

a b c (Å): 5.9764 5.8196 7.4011
angles (deg): 90.00 109.32 90.00
Site moments in Bohr magnetons follow the coordinates.
Fractional coordinates of all 14 atoms:
Ba: 0.7034 0.7500 0.9326  0.02
Ba: 0.2966 0.2500 0.0674  0.02
Pm: 0.7911 0.7500 0.4556  0.02
Pm: 0.2089 0.2500 0.5444  0.02
Mn: 0.2434 0.7500 0.3199  3.76
Mn: 0.7566 0.2500 0.6801  3.76
O: 0.9813 0.4830 0.7051  -0.04
O: 0.0187 0.9830 0.2949  -0.04
O: 0.0187 0.5170 0.2949  -0.04
O: 0.9813 0.0170 0.7051  -0.04
O: 0.4586 0.7500 0.1688  0.04
O: 0.5414 0.2500 0.8312  0.04
O: 0.4779 0.7500 0.5762  0.06
O: 0.5221 0.2500 0.4238  0.06